The following is a PBE calculation of a geometry-optimized CaZn2Au structure, from Alexandria.

## Properties
Formation energy from the elements, eV/f.u.: -0.9
Electronic total energy, eV/atom: -2.192
Spin magnetization, Bohr magnetons per cell: 0.00

Lattice parameters (Å, degrees): 4.5940 4.5940 18.5012 90.00 90.00 90.00
Space group I-42d (No. 122)
Inequivalent atoms, fractional coordinates:
Ca: 0.0000 0.0000 0.0000
Zn: 0.0832 0.2500 0.6250
Au: 0.0000 0.0000 0.5000